(1)
The following is a DFT calculation (SCAN) of MgNiAu2 at its PBEsol-relaxed geometry.

Cell: 3.8860 3.8860 7.9919 Å, 90.00 90.00 90.00°
Last column: nearest neighbours and their distance in Å.
Space group I-4m2 (No. 119)
Unique sites:
Mg  0.0000  0.0000  0.0000  8 Au 2.75-2.79, 4 Ni 2.79
Ni  0.0000  0.5000  0.2500  8 Au 2.75-2.79, 4 Mg 2.79
Au  0.0000  0.0000  0.5000  4 Mg 2.75, 4 Ni 2.79, 4 Au 2.79
Au  0.0000  0.5000  0.7500  4 Ni 2.75, 4 Mg 2.79, 4 Au 2.79

Computed properties:
total magnetic moment	0.00	μB per atom
N(E_F)	0.4018	states/eV/atom
energy of formation from the pure elements	-0.350	eV per atom
electronic total energy	-40.215	eV/atom

---

(2)
The following is a DFT calculation (SCAN) of ScSeN2O at its PBEsol-relaxed geometry.

Cell: 4.2412 4.2412 3.8723 Å, 90.00 90.00 90.00°
Last column: nearest neighbours and their distance in Å.
Space group P4/mmm (No. 123)
Unique sites:
Sc  0.0000  0.0000  0.0000  2 O 1.94, 4 N 2.12
Se  0.5000  0.5000  0.5000  8 N 2.87, 4 O 3.00
N  0.0000  0.5000  0.0000  2 Sc 2.12
O  0.0000  0.0000  0.5000  2 Sc 1.94

Computed properties:
total magnetic moment	0.31	μB per atom
N(E_F)	0.4620	states/eV/atom
ΔE_f (raw)	465	meV per atom
electronic total energy	-11.361	eV/atom